Record 1
Material: Ac2Zn6AgPt
Method: DFT, GGA-PBE
State: optimized geometry

Unit cell a=6.9347 b=6.9353 c=6.9245 alpha=59.92 beta=59.92 gamma=89.99
Element x y z (fractional)
Ac 0.7499 0.2502 0.4998
Ac 0.2501 0.7498 0.5001
Zn 0.7480 0.2518 0.0000
Zn 0.7482 0.7482 0.5038
Zn 0.7482 0.7483 0.9996
Zn 0.2520 0.7482 0.0000
Zn 0.2518 0.2518 0.4962
Zn 0.2517 0.2517 0.0004
Pt 0.5000 0.5000 0.0000
Ag 0.0000 0.0000 0.0000

Values from the calculation:
V	23.49	Å³/atom
density of states at the Fermi level	4.961	states/eV/f.u.
calculated total energy	-2.70	eV/atom
space group	I4/mmm, No. 139
formation energy	-22	kJ/mol of atoms

=====

Record 2
Material: Ac2Zn3AgPt4
Method: DFT, GGA-PBE
State: optimized geometry

Unit cell a=4.2925 b=4.2925 c=11.3045 alpha=90.00 beta=90.00 gamma=90.00
Element x y z (fractional)
Pt 0.5000 0.5000 0.0000
Pt 0.5000 0.0000 0.6529
Pt 0.0000 0.0000 0.0000
Pt 0.0000 0.5000 0.3471
Ac 0.0000 0.5000 0.7571
Ac 0.5000 0.0000 0.2429
Zn 0.5000 0.0000 0.8766
Zn 0.0000 0.5000 0.1234
Zn 0.0000 0.0000 0.5000
Ag 0.5000 0.5000 0.5000

Values from the calculation:
V	20.83	Å³/atom
density of states at the Fermi level	3.681	states/eV/f.u.
calculated total energy	-4.64	eV/atom
space group	P-4m2, No. 115
formation energy	-71	kJ/mol of atoms